Record 1
# YMnTc

A geometry-optimized YMnTc structure (GGA-PBE, Alexandria via LeMat-Bulk).

a b c (Å): 6.452 6.452 6.452
angles (deg): 90.00 90.00 90.00
Space group F-43m (No. 216)
Unique sites:
Y 0.000 0.000 0.000 (multiplicity 4)
Mn 0.250 0.250 0.750 (multiplicity 4)
Tc 0.250 0.250 0.250 (multiplicity 4)

Output
The calculation puts the polymorph energy (0 for the lowest one) at 4.191 eV/f.u. The crystal system is cubic.

=====

Record 2
# Y2MnTc

A geometry-optimized Y2MnTc structure (GGA-PBE, Alexandria via LeMat-Bulk).

a b c (Å): 4.619 3.729 5.735
angles (deg): 90.00 113.68 90.00
Space group Pm (No. 6)
Unique sites:
Y 0.000 0.000 0.000 (multiplicity 1)
Y 0.286 0.500 0.575 (multiplicity 1)
Mn 0.703 0.000 0.410 (multiplicity 1)
Tc 0.589 0.500 0.178 (multiplicity 1)

Output
The calculation puts the polymorph energy (0 for the lowest one) at 0.128 eV/f.u. The crystal system is monoclinic.

=====

Record 3
# Y2MnTc

A geometry-optimized Y2MnTc structure (GGA-PBE, Alexandria via LeMat-Bulk).

a b c (Å): 7.670 7.670 6.131
angles (deg): 90.00 90.00 90.00
Space group I-42d (No. 122)
Unique sites:
Y 0.235 0.250 0.125 (multiplicity 8)
Mn 0.000 0.000 0.500 (multiplicity 4)
Tc 0.000 0.000 0.000 (multiplicity 4)

Output
The calculation puts the polymorph energy (0 for the lowest one) at 2.288 eV/f.u. The crystal system is tetragonal.

=====

Record 4
# MnZnTc2

A geometry-optimized MnZnTc2 structure (GGA-PBE, Alexandria via LeMat-Bulk).

a b c (Å): 2.831 2.831 7.065
angles (deg): 90.00 90.00 90.00
Space group P4mm (No. 99)
Unique sites:
Mn 0.000 0.000 0.000 (multiplicity 1)
Zn 0.500 0.500 0.755 (multiplicity 1)
Tc 0.000 0.000 0.493 (multiplicity 1)
Tc 0.500 0.500 0.249 (multiplicity 1)

Output
The crystal system is tetragonal.

=====

Record 5
# Mn2ZnTc

A geometry-optimized Mn2ZnTc structure (GGA-PBE, Alexandria via LeMat-Bulk).

a b c (Å): 2.6387 2.6387 25.6353
angles (deg): 90.00 90.00 120.00
Space group R-3m (No. 166, hexagonal axes)
Unique sites:
Mn 0.0000 0.0000 0.2484 (multiplicity 6)
Zn 0.0000 0.0000 0.0000 (multiplicity 3)
Tc 0.0000 0.0000 0.5000 (multiplicity 3)

Output
The crystal system is trigonal.

=====

Record 6
# Mn2ZnTc

A geometry-optimized Mn2ZnTc structure (GGA-PBE, Alexandria via LeMat-Bulk).

a b c (Å): 2.783 3.548 5.346
angles (deg): 90.00 90.00 90.00
Space group Pmmm (No. 47)
Unique sites:
Mn 0.000 0.000 0.243 (multiplicity 2)
Zn 0.500 0.500 0.500 (multiplicity 1)
Tc 0.500 0.500 0.000 (multiplicity 1)

Output
The crystal system is orthorhombic.

=====

| no. | DFT formation energy (eV/atom) |
| --- | --- |
| 1 | 1.341 |
| 2 | 0.066 |
| 3 | 0.606 |
| 4 | 0.093 |
| 5 | 0.179 |
| 6 | 0.115 |